(1)
A plane-wave DFT calculation with PBE was carried out for crystalline SbSe at its relaxed geometry.

CIF file:
```
data_SbSe
_space_group_name_H-M_alt 'P 63 m c'
_space_group_IT_number 186
_space_group_name_Hall 'P 6c -2c'
_cell_length_a 4.2435
_cell_length_b 4.2435
_cell_length_c 10.7936
_cell_angle_alpha 90.00
_cell_angle_beta 90.00
_cell_angle_gamma 120.00
loop_
_atom_site_label
_atom_site_fract_x
_atom_site_fract_y
_atom_site_fract_z
_atom_site_occupancy
Sb1 0.3333 0.6667 0.0000 1
Se1 0.3333 0.6667 0.3845 1
```

Calculated values
formation energy from raw total energies	207	meV per atom
magnetic moment	0.00	μB/f.u.
V	42.1	Å³/atom

=====

(2)
A plane-wave DFT calculation with PBE was carried out for crystalline Tb4PmY3 at its relaxed geometry.

CIF file:
```
data_Tb4PmY3
_space_group_name_H-M_alt 'C 1 2/m 1'
_space_group_IT_number 12
_cell_length_a 23.577
_cell_length_b 3.471
_cell_length_c 6.754
_cell_angle_alpha 90.00
_cell_angle_beta 106.55
_cell_angle_gamma 90.00
loop_
_space_group_symop_operation_xyz
'x,y,z'
'-x,-y,-z'
'-x,y,-z'
'x,-y,z'
'x+1/2,y+1/2,z'
'-x+1/2,-y+1/2,-z'
'-x+1/2,y+1/2,-z'
'x+1/2,-y+1/2,z'
loop_
_atom_site_label
_atom_site_fract_x
_atom_site_fract_y
_atom_site_fract_z
_atom_site_occupancy
Tb1 0.125 0.000 0.371 1
Tb2 0.240 0.500 0.244 1
Pm1 0.000 0.500 0.000 1
Y1 0.000 0.000 0.500 1
Y2 0.126 0.000 0.883 1
```

Calculated values
distance to the lowest polymorph of the same formula	164	meV/atom
magnetic moment	0.00	μB/f.u.
V	33.1	Å³/atom
energy of formation	0.1734	eV per atom